Density functional theory data (PBE) for crystalline BaCrAs at its relaxed geometry.

abc: 4.972 4.972 4.972
angles: 60.00 60.00 60.00
Positions (direct):
As  0.000  0.000  0.000
Ba  0.500  0.500  0.500
Cr  0.750  0.750  0.750

Summary:
energy of formation	4	meV/atom
energy	-0.198	Ha/atom